Arrangement P

Below is a geometry-optimized GaSi2F structure, with properties calculated at the GGA-PBE level.

Output
N(E_F): 0.17 states/eV per cell

Cell: 4.338 4.338 4.338 Å, 60.00 60.00 60.00°
Positions (direct):
1 Si 0.250 0.250 0.250
2 Si 0.750 0.750 0.750
3 F 0.000 0.000 0.000
4 Ga 0.500 0.500 0.500

---

Arrangement Q

Below is a geometry-optimized GaSi2F structure, with properties calculated at the GGA-PBE level.

Output
N(E_F): 2.15 states/eV per cell

Cell: 4.176 4.176 8.329 Å, 75.48 75.48 90.00°
Positions (direct):
1 Si 0.211 0.625 0.250
2 Si 0.539 0.125 0.250
3 Si 0.375 0.461 0.750
4 Si 0.875 0.789 0.750
5 F 0.250 0.750 0.500
6 F 0.500 0.500 0.000
7 Ga 0.750 0.250 0.500
8 Ga 0.000 0.000 0.000

---

Bottom line: arrangement Q, by a margin of 31 meV/atom.

---

Arrangement P

Below is a geometry-optimized GaSn2F structure, with properties calculated at the GGA-PBE level.

Output
N(E_F): 1.82 states/eV per cell

Cell: 4.970 4.970 8.707 Å, 73.42 73.42 90.00°
Positions (direct):
1 Ga 0.000 0.000 0.000
2 Ga 0.750 0.250 0.500
3 F 0.500 0.500 0.000
4 F 0.250 0.750 0.500
5 Sn 0.375 0.449 0.750
6 Sn 0.875 0.801 0.750
7 Sn 0.551 0.125 0.250
8 Sn 0.199 0.625 0.250

---

Arrangement Q

Below is a geometry-optimized GaSn2F structure, with properties calculated at the GGA-PBE level.

Output
N(E_F): 0.39 states/eV per cell

Cell: 4.828 4.828 4.828 Å, 60.00 60.00 60.00°
Positions (direct):
1 F 0.000 0.000 0.000
2 Sn 0.250 0.250 0.250
3 Sn 0.750 0.750 0.750
4 Ga 0.500 0.500 0.500

---

Bottom line: arrangement Q, by a margin of 76 meV/atom.